Record 1
YCoH3 | PBE | relaxed

The calculation puts the final energy at -21.56 eV for the cell shown. Its space-group type is Pm-3m, No. 221. As for the density of states at the Fermi level: 3.09 states/eV per cell.

Cell: 3.9955 3.9955 3.9955 Å, 90.00 90.00 90.00°
Positions (direct):
Y1 0.0000 0.0000 0.0000
Co1 0.5000 0.5000 0.5000
H1 0.0000 0.0000 0.5000
H2 0.0000 0.5000 0.0000
H3 0.5000 0.0000 0.0000

***

Record 2
SeBr | PBE | relaxed

The calculation puts the final energy at -9.65 eV for the cell shown. Its space-group type is Pmma, No. 51. As for the density of states at the Fermi level: 1.99 states/eV per cell.

Cell: 3.3211 4.0824 9.5291 Å, 90.00 90.00 90.00°
Positions (direct):
Se1 0.2500 0.0000 0.0904
Se2 0.7500 0.0000 0.9096
Br1 0.2500 0.5000 0.7120
Br2 0.7500 0.5000 0.2880

***

Record 3
NdTm2Zn | PBE | relaxed

For the formation energy, the calculation gives -0.027 eV per atom. The calculation puts the final energy at -15.09 eV for the cell shown. Its space-group type is P4/mmm, No. 123. As for the density of states at the Fermi level: 5.57 states/eV per cell.

Cell: 4.7388 4.7388 4.7728 Å, 90.00 90.00 90.00°
Positions (direct):
Nd1 0.0000 0.0000 0.0000
Tm1 0.0000 0.5000 0.5000
Tm2 0.5000 0.0000 0.5000
Zn1 0.5000 0.5000 0.0000

***

Record 4
CuAg4Mo | PBE | relaxed

For the formation energy, the calculation gives 0.703 eV per atom. The calculation puts the final energy at -22.12 eV for the cell shown. Its space-group type is F-43m, No. 216. As for the density of states at the Fermi level: 4.08 states/eV per cell.

Cell: 5.3902 5.3902 5.3902 Å, 60.00 60.00 60.00°
Positions (direct):
Cu1 0.0000 0.0000 0.0000
Ag1 0.3749 0.3749 0.3749
Ag2 0.3749 0.3749 0.8752
Ag3 0.3749 0.8752 0.3749
Ag4 0.8752 0.3749 0.3749
Mo1 0.7500 0.7500 0.7500

***

Record 5
CsNp2GeO8 | PBE | relaxed

The calculation puts the final energy at -97.90 eV for the cell shown. Its space-group type is P-1, No. 2. As for the density of states at the Fermi level: 9.80 states/eV per cell.

Cell: 4.5167 4.5339 10.0242 Å, 97.85 92.65 91.05°
Positions (direct):
Cs1 0.0000 0.0000 0.0000
Np1 0.4109 0.4456 0.6721
Np2 0.5891 0.5544 0.3279
Ge1 0.0000 0.0000 0.5000
O1 0.1433 0.7287 0.3521
O2 0.2361 0.8822 0.6479
O3 0.3038 0.2945 0.4827
O4 0.4891 0.5687 0.8553
O5 0.5109 0.4313 0.1447
O6 0.6962 0.7055 0.5173
O7 0.7639 0.1178 0.3521
O8 0.8567 0.2713 0.6479

***

Record 6
SrMg2Te | PBE | relaxed

The calculation puts the final energy at -9.64 eV for the cell shown. Its space-group type is R3m, No. 160. As for the density of states at the Fermi level: 1.23 states/eV per cell.

Cell: 9.0083 9.0083 9.0083 Å, 27.64 27.64 27.64°
Positions (direct):
Sr1 0.0000 0.0000 0.0000
Mg1 0.5211 0.5211 0.5211
Mg2 0.7715 0.7715 0.7715
Te1 0.2483 0.2483 0.2483

***

Record 7
MnGa3Pb | PBE | relaxed

For the formation energy, the calculation gives 0.160 eV per atom. The calculation puts the final energy at -21.16 eV for the cell shown. Its space-group type is Pm-3m, No. 221. As for the density of states at the Fermi level: 4.26 states/eV per cell.

Cell: 4.7072 4.7072 4.7072 Å, 90.00 90.00 90.00°
Positions (direct):
Mn1 0.0000 0.0000 0.0000
Ga1 0.0000 0.0000 0.5000
Ga2 0.0000 0.5000 0.0000
Ga3 0.5000 0.0000 0.0000
Pb1 0.5000 0.5000 0.5000

***

Record 8
ReSb2Cl | PBE | relaxed

The calculation puts the final energy at -20.92 eV for the cell shown. Its space-group type is Cmmm, No. 65. As for the density of states at the Fermi level: 3.06 states/eV per cell.

Cell: 3.2120 3.2120 9.2707 Å, 90.00 90.00 115.76°
Positions (direct):
Re1 0.0000 0.0000 0.0000
Sb1 0.5000 0.5000 0.2314
Sb2 0.5000 0.5000 0.7686
Cl1 0.0000 0.0000 0.5000